Entry 1:
Material: SrCu2Sb
Method: DFT, GGA-PBE
State: relaxed

**Crystal system**: monoclinic
**Raw formation energy**: -0.230 eV per atom
**Fermi-level density of states**: 1.52 states/eV per cell

a = 4.7346 Å, b = 4.4125 Å, c = 4.8259 Å
α = 90.00°, β = 101.47°, γ = 90.00°
Space group Pm (No. 6)
Asymmetric unit:
Sr1 0.0000 0.0000 0.0000 x1
Cu1 0.4138 0.5000 0.7697 x1
Cu2 0.4604 0.0000 0.5444 x1
Sb1 0.5950 0.5000 0.3044 x1

---

Entry 2:
Material: MnP4
Method: DFT, GGA-PBE
State: relaxed

**Crystal system**: monoclinic
**Formation energy**: -0.357 eV/atom

a = 10.5141 Å, b = 5.0956 Å, c = 21.7781 Å
α = 90.00°, β = 94.60°, γ = 90.00°
Space group C2/c (No. 15)
Asymmetric unit:
Mn1 0.0749 0.1179 0.4296 x8
Mn2 0.1844 0.3013 0.3182 x8
P1 0.0260 0.0186 0.3298 x8
P2 0.0329 0.3955 0.8000 x8
P3 0.0752 0.1699 0.5365 x8
P4 0.0783 0.4201 0.0744 x8
P5 0.1605 0.4906 0.6693 x8
P6 0.1721 0.1210 0.2159 x8
P7 0.2247 0.1889 0.9508 x8
P8 0.2306 0.4082 0.4164 x8

---

| no. | V (Å³ per cell) | spin magnetization (μB per atom) |
| --- | --- | --- |
| 1 | 99 | 0.00 |
| 2 | 1163 | 0.00 |